(1)
Compound: Si2Sb2Au
Source: the Alexandria database
Functional: PBE
Structure: optimized geometry

a = 6.307 Å, b = 6.307 Å, c = 5.696 Å
α = 90.00°, β = 90.00°, γ = 90.00°
Fractional positions:
Sb  0.317  0.817  0.500
Sb  0.817  0.683  0.500
Sb  0.683  0.183  0.500
Sb  0.183  0.317  0.500
Si  0.367  0.867  0.000
Si  0.867  0.633  0.000
Si  0.633  0.133  0.000
Si  0.133  0.367  0.000
Au  0.000  0.000  0.000
Au  0.500  0.500  0.000

Results
* excess energy over the best structure of this formula in the dataset: 0.0 meV/atom
* raw formation energy: 0.14 eV/atom
* total magnetic moment: 0.00 μB/f.u.

=====

(2)
Compound: Sm3Mg7Pt4
Source: the Alexandria database
Functional: PBE
Structure: optimized geometry

a = 4.274 Å, b = 8.386 Å, c = 9.276 Å
α = 72.98°, β = 76.68°, γ = 75.24°
Fractional positions:
Sm  0.304  0.179  0.213
Sm  0.696  0.821  0.787
Sm  0.000  0.500  0.500
Mg  0.320  0.846  0.513
Mg  0.486  0.232  0.795
Mg  0.830  0.408  0.932
Mg  0.680  0.154  0.487
Mg  0.170  0.592  0.068
Mg  0.000  0.000  0.000
Mg  0.514  0.768  0.205
Pt  0.664  0.431  0.242
Pt  0.336  0.569  0.758
Pt  0.890  0.902  0.319
Pt  0.110  0.098  0.681

Results
* formation enthalpy at 0 K: -727 meV per atom
* total magnetic moment: 0.00 μB/f.u.

=====

(3)
Compound: CaMn2PbCl8
Source: the Alexandria database
Functional: PBE
Structure: optimized geometry

a = 6.444 Å, b = 6.213 Å, c = 8.014 Å
α = 90.00°, β = 90.00°, γ = 89.55°
Each line ends with the local moment (μB).
Fractional positions:
Ca  0.000  0.000  0.000  0.01
Mn  0.500  0.500  0.754  4.45
Mn  0.500  0.500  0.246  4.45
Pb  0.000  0.000  0.500  0.02
Cl  0.189  0.753  0.238  0.03
Cl  0.662  0.712  0.000  0.05
Cl  0.811  0.247  0.238  0.03
Cl  0.811  0.247  0.762  0.03
Cl  0.338  0.288  0.000  0.05
Cl  0.189  0.753  0.762  0.03
Cl  0.651  0.705  0.500  0.05
Cl  0.349  0.295  0.500  0.05

Results
* raw formation energy: -1.39 eV/atom
* total magnetic moment: 10.00 μB/f.u.

=====

(4)
Compound: Sc4MoRh
Source: the Alexandria database
Functional: PBE
Structure: optimized geometry

a = 5.484 Å, b = 5.484 Å, c = 5.484 Å
α = 60.00°, β = 60.00°, γ = 60.00°
Fractional positions:
Sc  0.874  0.375  0.375
Sc  0.375  0.375  0.874
Sc  0.375  0.874  0.375
Sc  0.375  0.375  0.375
Mo  0.750  0.750  0.750
Rh  0.000  0.000  0.000

Results
* formation enthalpy at 0 K: 502 meV per atom
* total magnetic moment: 0.00 μB/f.u.

=====

(5)
Compound: Sm3TlOs
Source: the Alexandria database
Functional: PBE
Structure: optimized geometry

a = 5.993 Å, b = 5.993 Å, c = 8.915 Å
α = 102.10°, β = 102.10°, γ = 112.10°
Fractional positions:
Sm  0.299  0.799  0.099
Sm  0.701  0.201  0.901
Sm  0.079  0.196  0.275
Sm  0.921  0.804  0.725
Sm  0.696  0.579  0.275
Sm  0.304  0.421  0.725
Tl  0.714  0.214  0.500
Tl  0.286  0.786  0.500
Os  0.250  0.250  0.000
Os  0.750  0.750  0.000

Results
* excess energy over the best structure of this formula in the dataset: 0.0 meV/atom
* formation enthalpy at 0 K: -238 meV per atom
* total magnetic moment: 0.00 μB/f.u.

=====

(6)
Compound: IrOsW2
Source: the Alexandria database
Functional: PBE
Structure: optimized geometry

a = 2.795 Å, b = 3.896 Å, c = 5.595 Å
α = 90.00°, β = 90.00°, γ = 90.00°
Fractional positions:
Ir  0.500  0.500  0.250
Os  0.500  0.500  0.750
W  0.000  0.000  0.997
W  0.000  0.000  0.503

Results
* excess energy over the best structure of this formula in the dataset: 13.6 meV/atom
* formation enthalpy at 0 K: -106 meV per atom
* total magnetic moment: 0.00 μB/f.u.